# PPtSe2

A geometry-optimized PPtSe2 structure (PBE, Alexandria).

Results
The value obtained for the calculated total energy is -18.2 eV/cell. The value obtained for the total magnetization is 0.000 μB/f.u. The calculation puts the formation energy without anion corrections at 0.05 eV per atom.

a = 7.6311 Å, b = 7.6311 Å, c = 5.0135 Å
α = 74.53°, β = 74.53°, γ = 25.56°
Element x y z (fractional)
P1 0.5510 0.5510 0.2780
Pt1 0.1661 0.1661 0.0781
Se1 0.0063 0.0063 0.9939
Se2 0.7766 0.7766 0.1499